# GGA-PBE NaTl4Se4, relaxed
# Density of states at the Fermi level: 0.3083 states/eV per atom
# Space-group type: I-42m
# Energy: -3.1002 eV per atom
# ΔE_f (raw): -8.1 kcal/mol of atoms
data_NaTl4Se4
_space_group_name_H-M_alt 'P 1'
_space_group_IT_number 1
_space_group_name_Hall 'P 1'
_cell_length_a 8.8551
_cell_length_b 8.8551
_cell_length_c 8.8551
_cell_angle_alpha 135.24
_cell_angle_beta 135.24
_cell_angle_gamma 65.16
loop_
_atom_site_label
_atom_site_type_symbol
_atom_site_fract_x
_atom_site_fract_y
_atom_site_fract_z
Na1 Na 0.0000 0.0000 0.0000
Tl1 Tl 0.0000 0.5000 0.5000
Tl2 Tl 0.2548 0.2548 0.0000
Tl3 Tl 0.5000 0.0000 0.5000
Tl4 Tl 0.7452 0.7452 0.0000
Se1 Se 0.1433 0.6471 0.0000
Se2 Se 0.3529 0.3529 0.4962
Se3 Se 0.6471 0.1433 0.0000
Se4 Se 0.8567 0.8567 0.5038

# GGA-PBE Na2TlSe2, relaxed
# Density of states at the Fermi level: 0.1403 states/eV per atom
# Space-group type: P4/mbm
# Energy: -3.0564 eV per atom
# ΔE_f (raw): -15.3 kcal/mol of atoms
data_Na2TlSe2
_space_group_name_H-M_alt 'P 1'
_space_group_IT_number 1
_space_group_name_Hall 'P 1'
_cell_length_a 8.6634
_cell_length_b 8.6634
_cell_length_c 3.3009
_cell_angle_alpha 90.00
_cell_angle_beta 90.00
_cell_angle_gamma 90.00
loop_
_atom_site_label
_atom_site_type_symbol
_atom_site_fract_x
_atom_site_fract_y
_atom_site_fract_z
Na1 Na 0.1258 0.3742 0.0000
Na2 Na 0.3742 0.8742 0.0000
Na3 Na 0.6258 0.1258 0.0000
Na4 Na 0.8742 0.6258 0.0000
Tl1 Tl 0.0000 0.0000 0.0000
Tl2 Tl 0.5000 0.5000 0.0000
Se1 Se 0.1723 0.6723 0.5000
Se2 Se 0.3277 0.1723 0.5000
Se3 Se 0.6723 0.8277 0.5000
Se4 Se 0.8277 0.3277 0.5000